Record 1
## Pm2PrErBi5 (PBE)

Data for a relaxed structure of Pm2PrErBi5.

POSCAR file:
```
Pm2PrErBi5
1.0
5.604 0.000 0.000
0.000 5.604 0.000
0.000 0.000 11.922
Pm Pr Er Bi
2 1 1 5
direct
0.500 0.500 0.275
0.500 0.500 0.725
0.000 0.000 0.500
0.000 0.000 0.000
0.000 0.500 0.500
0.500 0.000 0.500
0.000 0.000 0.758
0.000 0.000 0.242
0.500 0.500 0.000
```

## Properties
Energy relative to the elements, eV/atom: 0.051
Calculated density, Mg/m³: 7.29

***

Record 2
## TbEr2Tm5 (PBE)

Data for a relaxed structure of TbEr2Tm5.

POSCAR file:
```
TbEr2Tm5
1.0
6.981 -0.029 -0.042
-3.462 6.065 0.042
-3.462 -2.024 5.718
Tb Er Tm
1 2 5
direct
0.000 0.778 0.778
0.500 0.278 0.778
0.500 0.778 0.278
0.500 0.778 0.778
0.000 0.778 0.278
0.000 0.278 0.778
0.500 0.278 0.278
0.000 0.278 0.278
```

## Properties
Excess energy over the best structure of this formula in the dataset, eV/f.u.: 0.00
Energy relative to the elements, eV/atom: 0.025
Calculated density, Mg/m³: 9.22

***

Record 3
## AlPtW2 (PBE)

Data for a relaxed structure of AlPtW2.

POSCAR file:
```
AlPtW2
1.0
-0.239 -2.664 -0.600
0.734 -0.926 3.817
-5.613 0.247 1.139
W Pt Al
2 1 1
direct
0.000 0.000 0.012
0.500 0.500 0.249
0.500 0.500 0.731
0.000 0.000 0.509
```

## Properties
Energy relative to the elements, eV/atom: -0.116
Calculated density, Mg/m³: 15.59

***

Record 4
## Hf6CoRh3 (PBE)

Data for a relaxed structure of Hf6CoRh3.

POSCAR file:
```
Hf6CoRh3
1.0
-0.264 -0.686 -6.244
5.270 -4.466 0.268
-5.848 -6.842 0.971
Hf Co Rh
12 2 6
direct
0.657 0.156 0.937
0.647 0.181 0.564
0.687 0.448 0.256
0.313 0.552 0.744
0.353 0.819 0.436
0.343 0.844 0.063
0.157 0.344 0.437
0.147 0.319 0.064
0.187 0.052 0.756
0.813 0.948 0.244
0.853 0.681 0.936
0.843 0.656 0.563
0.500 0.500 0.500
0.000 0.000 0.000
0.563 0.872 0.732
0.500 0.500 0.000
0.437 0.128 0.268
0.063 0.628 0.232
0.000 0.000 0.500
0.937 0.372 0.768
```

## Properties
Energy relative to the elements, eV/atom: -0.412
Calculated density, Mg/m³: 12.14

***

Number 3 is which compound? AlPtW2

***

Copy entry 1 word for word.
## Pm2PrErBi5 (PBE)

Data for a relaxed structure of Pm2PrErBi5.

POSCAR file:
```
Pm2PrErBi5
1.0
5.604 0.000 0.000
0.000 5.604 0.000
0.000 0.000 11.922
Pm Pr Er Bi
2 1 1 5
direct
0.500 0.500 0.275
0.500 0.500 0.725
0.000 0.000 0.500
0.000 0.000 0.000
0.000 0.500 0.500
0.500 0.000 0.500
0.000 0.000 0.758
0.000 0.000 0.242
0.500 0.500 0.000
```

## Properties
Energy relative to the elements, eV/atom: 0.051
Calculated density, Mg/m³: 7.29

***

What is the formula in the fourth record? Hf6CoRh3

***

energy relative to the elements of number 1 (Pm2PrErBi5)? 0.051 eV/atom